Computed, not measured: an optimized crystal structure of CoPb2 at the PBE level of DFT.

```
CoPb2
1.0
2.3016 -6.5524 0.0000
2.3016 6.5524 0.0000
0.0000 0.0000 4.6680
Co Pb
2 4
Cartesian
2.3016 3.3112 3.5010
2.3016 -3.3112 1.1670
2.3016 4.7750 1.1670
2.3016 1.4179 1.1670
2.3016 -1.4179 3.5010
2.3016 -4.7750 3.5010
```

Calculated values
Calculated total energy: -13.51 eV per formula unit
Energy relative to the elements: 0.336 eV per atom